1.
{"formula": "Hf5H6", "functional": "PBE-GGA", "state": "optimized geometry", "final_energy_ev_per_cell": -71.53, "n_ef_per_ev_cell": 6.247, "lattice_angstrom": [[2.725, -4.693, 0.000], [2.725, 4.693, 0.000], [-1.826, 0.000, 5.086]], "species": ["Hf", "Hf", "Hf", "Hf", "Hf", "H", "H", "H", "H", "H", "H"], "fractional_positions": [[0.000, 0.000, 0.000], [0.166, 0.834, 0.500], [0.333, 0.667, 0.000], [0.667, 0.333, 0.000], [0.834, 0.166, 0.500], [0.064, 0.413, 0.238], [0.239, 0.239, 0.765], [0.413, 0.064, 0.238], [0.587, 0.936, 0.762], [0.761, 0.761, 0.235], [0.936, 0.587, 0.762]]}


2.
{"formula": "TlAuC", "functional": "PBE-GGA", "state": "optimized geometry", "delta_e_f_mev_per_atom": 485.6, "n_ef_per_ev_cell": 1.491, "lattice_angstrom": [[5.257, 0.000, 0.000], [-0.006, 5.639, 0.000], [-2.618, -1.661, 4.713]], "species": ["Tl", "Tl", "Au", "Au", "C", "C"], "fractional_positions": [[0.175, 0.161, 0.350], [0.825, 0.839, 0.650], [0.500, 0.000, 0.000], [0.500, 0.500, 0.000], [0.119, 0.500, 0.000], [0.881, 0.500, 0.000]]}


3.
{"formula": "Ti5Si2Bi2", "functional": "PBE-GGA", "state": "optimized geometry", "formation_energy_uncorrected_ev_per_atom": -0.504, "n_ef_per_ev_cell": 15.231, "lattice_angstrom": [[6.965, -3.464, 0.000], [6.965, 3.464, 0.000], [0.000, 0.000, 6.873]], "species": ["Ti", "Ti", "Ti", "Ti", "Ti", "Ti", "Ti", "Ti", "Ti", "Ti", "Si", "Si", "Si", "Si", "Bi", "Bi", "Bi", "Bi"], "fractional_positions": [[0.000, 0.000, 0.000], [0.051, 0.721, 0.671], [0.221, 0.551, 0.171], [0.279, 0.949, 0.671], [0.449, 0.779, 0.171], [0.500, 0.500, 0.500], [0.551, 0.221, 0.829], [0.721, 0.051, 0.329], [0.779, 0.449, 0.829], [0.949, 0.279, 0.329], [0.127, 0.873, 0.375], [0.373, 0.627, 0.875], [0.627, 0.373, 0.125], [0.873, 0.127, 0.625], [0.213, 0.213, 0.000], [0.287, 0.287, 0.500], [0.713, 0.713, 0.500], [0.787, 0.787, 0.000]]}


4.
{"formula": "Sr3Dy4S8", "functional": "PBE-GGA", "state": "optimized geometry", "formation_energy_uncorrected_ev_per_atom": -2.041, "n_ef_per_ev_cell": 4.014, "lattice_angstrom": [[5.726, -5.743, 0.000], [5.726, 5.743, 0.000], [-5.596, 0.000, 5.760]], "species": ["Sr", "Sr", "Sr", "Dy", "Dy", "Dy", "Dy", "S", "S", "S", "S", "S", "S", "S", "S"], "fractional_positions": [[0.000, 0.000, 0.000], [0.000, 0.500, 0.000], [0.500, 0.000, 0.000], [0.000, 0.500, 0.500], [0.500, 0.000, 0.500], [0.500, 0.500, 0.000], [0.500, 0.500, 0.500], [0.257, 0.743, 0.000], [0.259, 0.741, 0.500], [0.264, 0.264, 0.515], [0.273, 0.273, 0.026], [0.727, 0.727, 0.974], [0.736, 0.736, 0.485], [0.741, 0.259, 0.500], [0.743, 0.257, 0.000]]}


5.
{"formula": "YLuSe3", "functional": "PBE-GGA", "state": "optimized geometry", "formation_energy_uncorrected_ev_per_atom": -1.762, "n_ef_per_ev_cell": 0.000, "lattice_angstrom": [[9.266, 0.000, 0.000], [0.000, 7.271, 0.000], [-4.209, 0.000, 9.040]], "species": ["Y", "Y", "Y", "Y", "Lu", "Lu", "Lu", "Lu", "Se", "Se", "Se", "Se", "Se", "Se", "Se", "Se", "Se", "Se", "Se", "Se"], "fractional_positions": [[0.205, 0.166, 0.096], [0.205, 0.334, 0.596], [0.795, 0.666, 0.404], [0.795, 0.834, 0.904], [0.418, 0.737, 0.028], [0.418, 0.763, 0.528], [0.582, 0.237, 0.472], [0.582, 0.263, 0.972], [0.115, 0.665, 0.455], [0.115, 0.835, 0.955], [0.275, 0.102, 0.400], [0.275, 0.398, 0.900], [0.459, 0.559, 0.303], [0.459, 0.941, 0.803], [0.541, 0.059, 0.197], [0.541, 0.441, 0.697], [0.725, 0.602, 0.100], [0.725, 0.898, 0.600], [0.885, 0.165, 0.045], [0.885, 0.335, 0.545]]}


6.
{"formula": "Eu2YNbO6", "functional": "PBE-GGA", "state": "optimized geometry", "formation_energy_uncorrected_ev_per_atom": -2.921, "n_ef_per_ev_cell": 14.429, "lattice_angstrom": [[0.000, 4.214, 4.214], [4.214, 0.000, 4.214], [4.214, 4.214, 0.000]], "species": ["Eu", "Eu", "Y", "Nb", "O", "O", "O", "O", "O", "O"], "fractional_positions": [[0.250, 0.250, 0.250], [0.750, 0.750, 0.750], [0.000, 0.000, 0.000], [0.500, 0.500, 0.500], [0.262, 0.262, 0.738], [0.262, 0.738, 0.262], [0.262, 0.738, 0.738], [0.738, 0.262, 0.262], [0.738, 0.262, 0.738], [0.738, 0.738, 0.262]]}


7.
{"formula": "Tm2MgO", "functional": "PBE-GGA", "state": "optimized geometry", "formation_energy_uncorrected_ev_per_atom": -1.371, "n_ef_per_ev_cell": 9.034, "lattice_angstrom": [[3.438, 0.000, 0.000], [-1.719, 2.977, 0.000], [0.000, 0.000, 23.974]], "species": ["Tm", "Tm", "Tm", "Tm", "Tm", "Tm", "Mg", "Mg", "Mg", "O", "O", "O"], "fractional_positions": [[0.000, 0.000, 0.222], [0.000, 0.000, 0.778], [0.333, 0.667, 0.445], [0.333, 0.667, 0.888], [0.667, 0.333, 0.112], [0.667, 0.333, 0.555], [0.000, 0.000, 0.000], [0.333, 0.667, 0.667], [0.667, 0.333, 0.333], [0.000, 0.000, 0.500], [0.333, 0.667, 0.167], [0.667, 0.333, 0.833]]}


8.
{"formula": "La2B2Cl", "functional": "PBE-GGA", "state": "optimized geometry", "formation_energy_uncorrected_ev_per_atom": -0.440, "n_ef_per_ev_cell": 8.005, "lattice_angstrom": [[7.610, 0.000, 0.000], [0.000, 7.610, 0.000], [0.000, 0.000, 3.627]], "species": ["La", "La", "La", "La", "B", "B", "B", "B", "Cl", "Cl"], "fractional_positions": [[0.188, 0.312, 0.000], [0.312, 0.812, 0.000], [0.688, 0.188, 0.000], [0.812, 0.688, 0.000], [0.073, 0.573, 0.500], [0.427, 0.073, 0.500], [0.573, 0.927, 0.500], [0.927, 0.427, 0.500], [0.000, 0.000, 0.500], [0.500, 0.500, 0.500]]}


9.
{"formula": "Pm5Nd2Ru4", "functional": "PBE-GGA", "state": "optimized geometry", "delta_e_f_mev_per_atom": 43.0, "n_ef_per_ev_cell": 8.255, "lattice_angstrom": [[12.230, -1.774, 0.000], [12.230, 1.774, 0.000], [-0.120, 0.000, 7.144]], "species": ["Pm", "Pm", "Pm", "Pm", "Pm", "Nd", "Nd", "Ru", "Ru", "Ru", "Ru"], "fractional_positions": [[0.000, 0.000, 0.000], [0.268, 0.268, 0.292], [0.368, 0.368, 0.842], [0.632, 0.632, 0.158], [0.732, 0.732, 0.708], [0.417, 0.417, 0.368], [0.583, 0.583, 0.632], [0.169, 0.169, 0.458], [0.472, 0.472, 0.700], [0.528, 0.528, 0.300], [0.831, 0.831, 0.542]]}


10.
{"formula": "LiP2W", "functional": "PBE-GGA", "state": "optimized geometry", "delta_e_f_mev_per_atom": 67.2, "n_ef_per_ev_cell": 4.427, "lattice_angstrom": [[3.538, 0.000, 0.000], [0.000, 3.538, 0.000], [0.000, 0.000, 8.658]], "species": ["Li", "Li", "P", "P", "P", "P", "W", "W"], "fractional_positions": [[0.000, 0.000, 0.000], [0.500, 0.500, 0.500], [0.000, 0.000, 0.500], [0.000, 0.500, 0.750], [0.500, 0.000, 0.250], [0.500, 0.500, 0.000], [0.000, 0.500, 0.250], [0.500, 0.000, 0.750]]}


11.
{"formula": "Li2CeThGe2", "functional": "PBE-GGA", "state": "optimized geometry", "delta_e_f_mev_per_atom": -556.4, "n_ef_per_ev_cell": 8.229, "lattice_angstrom": [[4.506, 0.000, 0.000], [-2.253, 3.902, 0.000], [0.000, 0.000, 7.350]], "species": ["Li", "Li", "Ce", "Th", "Ge", "Ge"], "fractional_positions": [[0.333, 0.667, 0.236], [0.667, 0.333, 0.764], [0.000, 0.000, 0.000], [0.000, 0.000, 0.500], [0.333, 0.667, 0.749], [0.667, 0.333, 0.251]]}


12.
{"formula": "KBaZnSi2", "functional": "PBE-GGA", "state": "optimized geometry", "formation_energy_uncorrected_ev_per_atom": 1.292, "n_ef_per_ev_cell": 5.146, "lattice_angstrom": [[5.551, 0.000, 0.000], [0.000, 5.551, 0.000], [0.000, 0.000, 6.140]], "species": ["K", "Ba", "Zn", "Si", "Si"], "fractional_positions": [[0.000, 0.000, 0.000], [0.000, 0.000, 0.500], [0.500, 0.500, 0.500], [0.000, 0.500, 0.000], [0.500, 0.000, 0.000]]}


13.
{"formula": "Er3Co7Si2", "functional": "PBE-GGA", "state": "optimized geometry", "formation_energy_uncorrected_ev_per_atom": -0.477, "n_ef_per_ev_cell": 10.836, "lattice_angstrom": [[2.562, 1.479, 7.483], [-2.562, 1.479, 7.483], [0.000, -2.959, 7.483]], "species": ["Er", "Er", "Er", "Co", "Co", "Co", "Co", "Co", "Co", "Co", "Si", "Si"], "fractional_positions": [[0.000, 0.000, 0.000], [0.141, 0.141, 0.141], [0.859, 0.859, 0.859], [0.081, 0.578, 0.578], [0.422, 0.422, 0.919], [0.422, 0.919, 0.422], [0.500, 0.500, 0.500], [0.578, 0.081, 0.578], [0.578, 0.578, 0.081], [0.919, 0.422, 0.422], [0.333, 0.333, 0.333], [0.667, 0.667, 0.667]]}


14.
{"formula": "CuAs2RuSe", "functional": "PBE-GGA", "state": "optimized geometry", "formation_energy_uncorrected_ev_per_atom": 0.683, "n_ef_per_ev_cell": 3.662, "lattice_angstrom": [[4.604, 0.000, 0.000], [0.000, 4.604, 0.000], [0.000, 0.000, 5.422]], "species": ["Cu", "As", "As", "Ru", "Se"], "fractional_positions": [[0.000, 0.000, 0.000], [0.000, 0.500, 0.500], [0.500, 0.000, 0.500], [0.500, 0.500, 0.500], [0.500, 0.500, 0.000]]}


15.
{"formula": "Li2LaPm2Sn2", "functional": "PBE-GGA", "state": "optimized geometry", "delta_e_f_mev_per_atom": -492.4, "n_ef_per_ev_cell": 4.710, "lattice_angstrom": [[2.436, 1.406, 9.287], [-2.436, 1.406, 9.287], [0.000, -2.813, 9.287]], "species": ["Li", "Li", "La", "Pm", "Pm", "Sn", "Sn"], "fractional_positions": [[0.091, 0.091, 0.091], [0.909, 0.909, 0.909], [0.500, 0.500, 0.500], [0.369, 0.369, 0.369], [0.631, 0.631, 0.631], [0.239, 0.239, 0.239], [0.761, 0.761, 0.761]]}